--- 1 ---
Entry from the Alexandria database: a geometry-optimized FeNiBr2 structure (GGA-PBE).

The structure in CIF format:
```
data_FeNiBr2
_chemical_formula_sum 'Fe1 Ni1 Br2'
_cell_length_a 3.6960
_cell_length_b 3.5895
_cell_length_c 7.0347
_cell_angle_alpha 90.00
_cell_angle_beta 92.83
_cell_angle_gamma 90.00
_symmetry_space_group_name_H-M 'P 1 m 1'
_symmetry_Int_Tables_number 6
_symmetry_space_group_name_Hall 'P -2y'
loop_
_atom_site_label
_atom_site_type_symbol
_atom_site_fract_x
_atom_site_fract_y
_atom_site_fract_z
Fe1 Fe 0.0000 0.0000 0.0000
Ni1 Ni 0.5367 0.5000 0.9383
Br1 Br 0.3834 0.0000 0.7232
Br2 Br 0.8607 0.5000 0.2392
```

Calculated values
total moment	4.00	μB per formula unit

***

--- 2 ---
Entry from the Alexandria database: a geometry-optimized FeNiBr2 structure (GGA-PBE).

The structure in CIF format:
```
data_FeNiBr2
_chemical_formula_sum 'Fe3 Ni3 Br6'
_cell_length_a 3.5080
_cell_length_b 3.5080
_cell_length_c 20.5291
_cell_angle_alpha 90.00
_cell_angle_beta 90.00
_cell_angle_gamma 120.00
_symmetry_space_group_name_H-M 'R -3 m'
_symmetry_Int_Tables_number 166
_symmetry_space_group_name_Hall '-R 3 2"'
loop_
_atom_site_label
_atom_site_type_symbol
_atom_site_fract_x
_atom_site_fract_y
_atom_site_fract_z
Fe1 Fe 0.0000 0.0000 0.0000
Ni1 Ni 0.0000 0.0000 0.5000
Br1 Br 0.0000 0.0000 0.2477
```

Calculated values
total moment	4.01	μB per formula unit

***

--- 3 ---
Entry from the Alexandria database: a geometry-optimized FeNiBr2 structure (GGA-PBE).

The structure in CIF format:
```
data_FeNiBr2
_chemical_formula_sum 'Fe1 Ni1 Br2'
_cell_length_a 3.2675
_cell_length_b 3.2675
_cell_length_c 6.5393
_cell_angle_alpha 90.00
_cell_angle_beta 90.00
_cell_angle_gamma 90.00
_symmetry_space_group_name_H-M 'P 4/m m m'
_symmetry_Int_Tables_number 123
_symmetry_space_group_name_Hall '-P 4 2'
loop_
_atom_site_label
_atom_site_type_symbol
_atom_site_fract_x
_atom_site_fract_y
_atom_site_fract_z
Fe1 Fe 0.0000 0.0000 0.0000
Ni1 Ni 0.0000 0.0000 0.5000
Br1 Br 0.5000 0.5000 0.2485
```

Calculated values
total moment	4.02	μB per formula unit

***

Computed relative energies in units of kJ/mol of atoms: 1 0.0; 2 40.6; 3 57.3